A relaxed structure of Ce2Er5Tm12. Source: Alexandria, functional PBE.

a b c (Å): 6.0855 9.5544 10.8507
angles (deg): 68.52 80.60 79.63
Last column: nearest neighbours and their distance in Å.
Fractional positions:
1 Ce 0.0000 0.0000 0.0000  1 Ce 2.65
2 Ce 0.3855 0.0915 0.9998  1 Ce 2.65
3 Er 0.4109 0.5995 0.5541  9 Tm 3.42-3.61, 3 Er 3.49-3.57
4 Er 0.4808 0.9909 0.4494  9 Tm 3.28-3.66, 3 Er 3.45-3.57
5 Er 0.7057 0.5492 0.0014  6 Tm 3.20-3.52
6 Er 0.9086 0.1047 0.5490  8 Tm 3.27-3.66, 3 Er 3.45-3.57
7 Er 0.9782 0.4960 0.4443  9 Tm 3.42-3.58, 3 Er 3.49-3.57
8 Tm 0.0581 0.8854 0.3266  1 Ce 3.36, 6 Tm 3.48-3.67, 5 Er 3.53-3.65
9 Tm 0.1298 0.2783 0.2336  7 Tm 3.27-3.67, 3 Er 3.38-3.54, 1 Ce 3.62
10 Tm 0.1845 0.6517 0.1146  1 Ce 3.16, 2 Er 3.32-3.45, 3 Tm 3.38-3.53
11 Tm 0.2168 0.4424 0.8843  1 Ce 3.16, 2 Er 3.29-3.44, 2 Tm 3.38-3.52
12 Tm 0.2527 0.8188 0.7644  6 Tm 3.27-3.60, 3 Er 3.39-3.55, 1 Ce 3.59
13 Tm 0.3307 0.2107 0.6713  1 Ce 3.37, 6 Tm 3.44-3.66, 5 Er 3.52-3.65
14 Tm 0.5459 0.3931 0.3444  5 Tm 3.27-3.53, 5 Er 3.42-3.52
15 Tm 0.6134 0.7764 0.2219  2 Ce 3.33-3.48, 5 Tm 3.48-3.61, 4 Er 3.49-3.70
16 Tm 0.6911 0.9068 0.8449  2 Ce 3.06-3.15, 2 Er 3.20-3.27, 3 Tm 3.27-3.42
17 Tm 0.6920 0.1912 0.1509  2 Ce 3.08-3.14, 2 Er 3.22-3.28, 3 Tm 3.27-3.42
18 Tm 0.7787 0.3168 0.7782  2 Ce 3.32-3.51, 5 Tm 3.47-3.61, 3 Er 3.51-3.66
19 Tm 0.8432 0.7007 0.6546  5 Tm 3.27-3.58, 5 Er 3.42-3.52

For the spin magnetization, the calculation gives 0.00 Bohr magnetons per cell. The calculated volume comes out at 574 Å³ per cell. The total energy comes out at -86.23 eV/cell. Its space-group type is P1.